(1)
Y3TmRh: optimized geometry, GGA-PBE.

## Properties
Crystal system: cubic
Calculated formation energy: -0.194 eV per atom
Polymorph energy (0 for the lowest one): 0.162 eV per atom

Cell lengths 5.4081, 5.4081, 5.4081 Å; angles 90.00, 90.00, 90.00 degrees
Closest atoms and distances in Å follow each position.
Positions (direct):
Y  0.0000  0.0000  0.5000  2 Rh 2.70
Y  0.0000  0.5000  0.0000  2 Rh 2.70
Y  0.5000  0.0000  0.0000  2 Rh 2.70
Tm  0.5000  0.5000  0.5000  12 Y 3.82
Rh  0.0000  0.0000  0.0000  6 Y 2.70



(2)
Na2SrPtO4: optimized geometry, GGA-PBE.

## Properties
Crystal system: tetragonal
Formation energy (no corrections): -115.6 kJ per mole of atoms

Cell lengths 5.5551, 5.5551, 5.5551 Å; angles 114.28, 114.28, 100.23 degrees
Closest atoms and distances in Å follow each position.
Positions (direct):
Na  0.2500  0.7500  0.5000  4 O 2.30
Na  0.7500  0.2500  0.5000  4 O 2.30
Sr  0.0000  0.0000  0.0000  4 O 2.48
Pt  0.5000  0.5000  0.0000  4 O 1.98
O  0.1379  0.1379  0.6873  1 Pt 1.98
O  0.4506  0.4506  0.3127  1 Pt 1.98
O  0.5494  0.8621  0.0000  1 Pt 1.98
O  0.8621  0.5494  0.0000  1 Pt 1.98



(3)
Pm7PrHo3: optimized geometry, GGA-PBE.

## Properties
Crystal system: trigonal
Calculated formation energy: 0.189 eV per atom
Polymorph energy (0 for the lowest one): 0.059 eV per atom

Cell lengths 7.2017, 7.2017, 8.6786 Å; angles 90.00, 90.00, 120.00 degrees
Closest atoms and distances in Å follow each position.
Positions (direct):
Pm  0.0000  0.0000  0.0000  9 Pm 3.56-3.60, 3 Ho 3.60
Pm  0.1660  0.3320  0.6668  2 Ho 3.52, 7 Pm 3.56-3.67, 2 Pr 3.60
Pm  0.1660  0.8340  0.6668  2 Ho 3.52, 7 Pm 3.56-3.67, 2 Pr 3.60
Pm  0.5005  0.0010  0.0141  2 Ho 3.51, 1 Pr 3.55, 8 Pm 3.59-3.67
Pm  0.5005  0.4995  0.0141  2 Ho 3.51, 1 Pr 3.55, 8 Pm 3.59-3.67
Pm  0.6680  0.8340  0.6668  2 Ho 3.52, 7 Pm 3.56-3.67, 2 Pr 3.60
Pm  0.9990  0.4995  0.0141  2 Ho 3.51, 1 Pr 3.55, 8 Pm 3.59-3.67
Pr  0.6667  0.3333  0.6814  9 Pm 3.55-3.60, 3 Ho 3.62
Ho  0.3326  0.1663  0.3396  5 Pm 3.51-3.60, 4 Ho 3.59-3.61, 1 Pr 3.62
Ho  0.8337  0.1663  0.3396  5 Pm 3.51-3.60, 4 Ho 3.59-3.61, 1 Pr 3.62
Ho  0.8337  0.6674  0.3396  5 Pm 3.51-3.60, 4 Ho 3.59-3.61, 1 Pr 3.62



(4)
Hg2Pd2Au: optimized geometry, GGA-PBE.

## Properties
Crystal system: hexagonal
Calculated formation energy: 0.021 eV per atom
Polymorph energy (0 for the lowest one): 0.092 eV per atom

Cell lengths 4.5698, 4.5698, 10.8750 Å; angles 90.00, 90.00, 120.00 degrees
Closest atoms and distances in Å follow each position.
Positions (direct):
Hg  0.3333  0.6667  0.1009  6 Pd 2.86-3.10, 3 Au 3.10
Hg  0.3333  0.6667  0.3991  6 Pd 2.86-3.10, 3 Au 3.10
Hg  0.6667  0.3333  0.6009  6 Pd 2.86-3.10, 3 Au 3.10
Hg  0.6667  0.3333  0.8991  6 Pd 2.86-3.10, 3 Au 3.10
Pd  0.0000  0.0000  0.0000  2 Au 2.72, 6 Hg 2.86
Pd  0.0000  0.0000  0.5000  2 Au 2.72, 6 Hg 2.86
Pd  0.3333  0.6667  0.7500  3 Au 2.64
Pd  0.6667  0.3333  0.2500  3 Au 2.64
Au  0.0000  0.0000  0.2500  5 Pd 2.64-2.72
Au  0.0000  0.0000  0.7500  5 Pd 2.64-2.72



(5)
Tm3VPd12: optimized geometry, GGA-PBE.

## Properties
Crystal system: tetragonal
Calculated formation energy: -0.748 eV per atom

Cell lengths 4.0445, 4.0445, 16.1387 Å; angles 90.00, 90.00, 90.00 degrees
Closest atoms and distances in Å follow each position.
Positions (direct):
Tm  0.0000  0.0000  0.0000  12 Pd 2.86-2.90
Tm  0.0000  0.0000  0.2537  12 Pd 2.86-2.96
Tm  0.0000  0.0000  0.7463  12 Pd 2.86-2.96
V  0.0000  0.0000  0.5000  12 Pd 2.72-2.86
Pd  0.0000  0.5000  0.1288  4 Tm 2.86-2.90, 8 Pd 2.86-2.91
Pd  0.0000  0.5000  0.3877  8 Pd 2.72-2.91, 2 V 2.72, 2 Tm 2.96
Pd  0.0000  0.5000  0.6123  8 Pd 2.72-2.91, 2 V 2.72, 2 Tm 2.96
Pd  0.0000  0.5000  0.8712  4 Tm 2.86-2.90, 8 Pd 2.86-2.91
Pd  0.5000  0.0000  0.1288  4 Tm 2.86-2.90, 8 Pd 2.86-2.91
Pd  0.5000  0.0000  0.3877  8 Pd 2.72-2.91, 2 V 2.72, 2 Tm 2.96
Pd  0.5000  0.0000  0.6123  8 Pd 2.72-2.91, 2 V 2.72, 2 Tm 2.96
Pd  0.5000  0.0000  0.8712  4 Tm 2.86-2.90, 8 Pd 2.86-2.91
Pd  0.5000  0.5000  0.0000  4 Tm 2.86, 8 Pd 2.90
Pd  0.5000  0.5000  0.2583  4 Tm 2.86, 8 Pd 2.91
Pd  0.5000  0.5000  0.5000  8 Pd 2.72, 4 V 2.86
Pd  0.5000  0.5000  0.7417  4 Tm 2.86, 8 Pd 2.91



(6)
Ca8AlCd2: optimized geometry, GGA-PBE.

## Properties
Crystal system: orthorhombic
Calculated formation energy: -0.131 eV per atom
Polymorph energy (0 for the lowest one): 0.040 eV per atom

Cell lengths 9.2911, 9.2911, 9.2911 Å; angles 146.76, 122.73, 67.85 degrees
Closest atoms and distances in Å follow each position.
Positions (direct):
Ca  0.1187  0.3410  0.7777  3 Cd 3.35-3.39, 1 Al 3.48, 5 Ca 3.63-3.71
Ca  0.1378  0.1378  0.0000  2 Al 3.40, 8 Ca 3.48-3.71, 2 Cd 3.75
Ca  0.3094  0.0000  0.3094  7 Ca 3.40-3.63, 2 Cd 3.40
Ca  0.4367  0.6590  0.7777  3 Cd 3.35-3.39, 1 Al 3.48, 5 Ca 3.63-3.71
Ca  0.5633  0.3410  0.2223  3 Cd 3.35-3.39, 1 Al 3.48, 5 Ca 3.63-3.71
Ca  0.6906  0.0000  0.6906  7 Ca 3.40-3.63, 2 Cd 3.40
Ca  0.8622  0.8622  0.0000  2 Al 3.40, 8 Ca 3.48-3.71, 2 Cd 3.75
Ca  0.8813  0.6590  0.2223  3 Cd 3.35-3.39, 1 Al 3.48, 5 Ca 3.63-3.71
Al  0.0000  0.5000  0.5000  8 Ca 3.40-3.48
Cd  0.3091  0.8091  0.5000  10 Ca 3.35-3.75
Cd  0.6909  0.1909  0.5000  10 Ca 3.35-3.75



(7)
Cr2RuBr: optimized geometry, GGA-PBE.

## Properties
Crystal system: tetragonal
Formation energy (no corrections): 93.1 kJ per mole of atoms
Polymorph energy (0 for the lowest one): 0.496 eV per atom

Cell lengths 4.9826, 4.9826, 4.9826 Å; angles 135.87, 135.87, 64.18 degrees
Closest atoms and distances in Å follow each position.
Positions (direct):
Cr  0.0000  0.0000  0.0000  4 Br 2.65, 4 Cr 2.82, 4 Ru 2.82
Cr  0.7500  0.2500  0.5000  4 Ru 2.65, 4 Br 2.82, 4 Cr 2.82
Ru  0.2500  0.7500  0.5000  8 Cr 2.65-2.82, 4 Br 2.82
Br  0.5000  0.5000  0.0000  8 Cr 2.65-2.82, 4 Ru 2.82



(8)
BeCdCu2: optimized geometry, GGA-PBE.

## Properties
Crystal system: monoclinic
Calculated formation energy: 0.148 eV per atom
Polymorph energy (0 for the lowest one): 0.131 eV per atom

Cell lengths 2.7330, 3.9906, 5.1389 Å; angles 90.00, 105.38, 90.00 degrees
Closest atoms and distances in Å follow each position.
Positions (direct):
Be  0.0000  0.0000  0.0000  4 Cu 2.25-2.41
Cd  0.6398  0.5000  0.2655  3 Cu 2.61-2.72, 2 Cd 2.73, 4 Be 2.74-2.76
Cu  0.3053  0.0000  0.6008  2 Be 2.40-2.41, 4 Cu 2.59-2.60
Cu  0.9026  0.5000  0.7918  2 Be 2.25



(9)
Y2Al3Au: optimized geometry, GGA-PBE.

## Properties
Crystal system: monoclinic
Calculated formation energy: -0.651 eV per atom

Cell lengths 5.7280, 5.7280, 7.2180 Å; angles 128.04, 128.04, 46.52 degrees
Closest atoms and distances in Å follow each position.
Positions (direct):
Y  0.0000  0.0000  0.0000  3 Au 3.10-3.13, 9 Al 3.14-3.41
Y  0.0839  0.0839  0.5863  9 Al 3.11-3.29, 3 Au 3.28-3.29
Al  0.3788  0.3788  0.1880  2 Au 2.61, 2 Al 2.68-2.90
Al  0.3874  0.3874  0.5985  1 Au 2.63, 3 Al 2.66-2.90
Al  0.7079  0.7079  0.4048  3 Al 2.66-2.68, 1 Au 2.86
Au  0.7118  0.7118  0.0128  4 Al 2.61-2.86



(10)
Pm2EuTh: optimized geometry, GGA-PBE.

## Properties
Crystal system: tetragonal
Calculated formation energy: 0.127 eV per atom
Polymorph energy (0 for the lowest one): 0.086 eV per atom

Cell lengths 5.1836, 5.1836, 5.1190 Å; angles 90.00, 90.00, 90.00 degrees
Closest atoms and distances in Å follow each position.
Positions (direct):
Pm  0.0000  0.5000  0.0000  4 Th 3.64, 4 Eu 3.64, 4 Pm 3.67
Pm  0.5000  0.0000  0.0000  4 Th 3.64, 4 Eu 3.64, 4 Pm 3.67
Eu  0.0000  0.0000  0.5000  8 Pm 3.64, 4 Th 3.67
Th  0.5000  0.5000  0.5000  8 Pm 3.64, 4 Eu 3.67



(11)
GeMo3Pb: optimized geometry, GGA-PBE.

## Properties
Crystal system: cubic
Calculated formation energy: 1.229 eV per atom
Polymorph energy (0 for the lowest one): 0.000 eV per atom

Cell lengths 4.6745, 4.6745, 4.6745 Å; angles 90.00, 90.00, 90.00 degrees
Closest atoms and distances in Å follow each position.
Positions (direct):
Ge  0.0000  0.0000  0.0000  6 Mo 2.34
Mo  0.0000  0.0000  0.5000  2 Ge 2.34
Mo  0.0000  0.5000  0.0000  2 Ge 2.34
Mo  0.5000  0.0000  0.0000  2 Ge 2.34
Pb  0.5000  0.5000  0.5000  12 Mo 3.31



(12)
Ac2PrAu: optimized geometry, GGA-PBE.

## Properties
Crystal system: monoclinic
Calculated formation energy: -0.279 eV per atom
Polymorph energy (0 for the lowest one): 0.099 eV per atom

Cell lengths 6.8686, 6.8686, 7.5370 Å; angles 104.45, 104.45, 58.27 degrees
Closest atoms and distances in Å follow each position.
Positions (direct):
Ac  0.1883  0.1973  0.0925  2 Au 3.16-3.18
Ac  0.1973  0.1883  0.5925  2 Au 3.16-3.18
Ac  0.8027  0.8117  0.4075  2 Au 3.16-3.18
Ac  0.8117  0.8027  0.9075  2 Au 3.16-3.18
Pr  0.3630  0.6370  0.7500  1 Au 3.00
Pr  0.6370  0.3630  0.2500  1 Au 3.00
Au  0.1892  0.8108  0.2500  1 Pr 3.00, 4 Ac 3.16-3.18
Au  0.8108  0.1892  0.7500  1 Pr 3.00, 4 Ac 3.16-3.18